ErInCu3 | PBE-GGA | optimized geometry

Calculated values
Energy = -40.657 eV per cell
Energy of formation from the pure elements = -3.41 kcal/mol of atoms
Spin magnetization = 0.000 μB per atom

Geometry as extended XYZ:
```
10
Lattice="-0.477 1.425 -3.873 -3.515 -0.501 0.249 0.437 11.670 4.239" Properties=species:S:1:pos:R:3 pbc="T T T"
Er -0.318 2.076 -0.311
Er -3.236 10.517 0.926
In -2.648 6.777 1.706
In -0.907 5.816 -1.091
Cu -1.112 8.947 2.314
Cu -2.442 3.647 -1.700
Cu -1.372 11.193 3.173
Cu -2.183 1.401 -2.558
Cu -1.205 8.394 -0.106
Cu -2.350 4.200 0.720
```

Er6InCu2 | PBE-GGA | optimized geometry

Calculated values
Energy = -80.993 eV per cell
Energy of formation from the pure elements = -5.61 kcal/mol of atoms
Spin magnetization = 0.000 μB per atom

Geometry as extended XYZ:
```
18
Lattice="-3.676 7.547 0.909 -5.241 -6.438 1.541 6.298 -0.779 5.570" Properties=species:S:1:pos:R:3 pbc="T T T"
Er -0.575 -1.240 6.124
Er -2.044 1.570 1.897
Er 3.282 -1.720 5.064
Er -5.901 2.049 2.957
Er -3.394 0.697 5.035
Er 0.775 -0.368 2.986
Er 1.329 -4.149 6.711
Er -3.948 4.478 1.310
Er -0.244 2.316 4.984
Er -2.375 -1.987 3.036
Er -1.999 -4.556 5.568
Er -0.620 4.885 2.453
In 0.529 -3.609 3.556
In 0.000 0.000 0.000
Cu 1.713 0.640 5.943
Cu -4.332 -0.311 2.077
Cu 1.711 4.417 4.229
Cu 0.911 2.351 2.251
```

Er3In4Cu2 | PBE-GGA | optimized geometry

Calculated values
Energy = -36.136 eV per cell
Energy of formation from the pure elements = -8.46 kcal/mol of atoms
Spin magnetization = 0.000 μB per atom

Geometry as extended XYZ:
```
9
Lattice="-1.666 3.303 -2.912 -5.651 1.401 1.016 0.115 7.287 4.394" Properties=species:S:1:pos:R:3 pbc="T T T"
Er -4.378 6.797 2.603
Er 0.000 0.000 0.000
Er -2.823 5.194 -0.104
In -2.563 1.998 -0.073
In -4.638 9.992 2.571
In -1.599 5.148 2.948
In -5.602 6.843 -0.450
Cu -5.854 4.609 0.965
Cu -1.348 7.382 1.533
```

Question: What is the energy of formation from the pure elements in the third record?
Answer: -8.46 kcal/mol of atoms

Question: Which value of spin magnetization does entry 3 give?
Answer: 0.000 μB per atom

Question: Look up the energy of the first one.
Answer: -40.657 eV per cell

Question: Which of these has the highest energy of formation from the pure elements?
Answer: ErInCu3